Density functional theory data (GGA-PBE) for crystalline MgB3Au at its relaxed geometry.

```
MgB3Au
1.0
4.3111 0.0000 0.0000
0.0000 4.3111 0.0000
0.0000 0.0000 4.3111
Mg B Au
1 3 1
Cartesian
0.0000 0.0000 0.0000
0.0000 0.0000 2.1555
0.0000 2.1555 0.0000
2.1555 0.0000 0.0000
2.1555 2.1555 2.1555
```

Space group   Pm-3m (221)
Calculated formation energy   222.4 kJ per mole of atoms
Calculated volume   80 Å³/f.u.
Spin magnetization   0.0 Bohr magnetons per cell
Calculated total energy   -0.0983 Ha/atom
Relative energy among the computed polymorphs   668.4 meV per atom

***

Density functional theory data (GGA-PBE) for crystalline MgBAu2 at its relaxed geometry.

```
MgBAu2
1.0
0.0000 3.1288 3.1288
3.1288 0.0000 3.1288
3.1288 3.1288 0.0000
Mg B Au
1 1 2
Cartesian
0.0000 0.0000 0.0000
3.1288 3.1288 3.1288
1.5644 1.5644 1.5644
4.6933 4.6933 4.6933
```

Space group   Fm-3m (225)
Calculated formation energy   38.8 kJ per mole of atoms
Calculated volume   61 Å³/f.u.
Spin magnetization   0.0 Bohr magnetons per cell
Calculated total energy   -0.1214 Ha/atom

***

Density functional theory data (GGA-PBE) for crystalline MgBAu2 at its relaxed geometry.

```
MgBAu2
1.0
-2.7625 2.7625 5.4122
2.7625 -2.7625 5.4122
2.7625 2.7625 -5.4122
Mg B Au
2 2 4
Cartesian
0.0000 0.0000 0.0000
0.0000 2.7625 2.7061
2.7625 0.0000 2.7061
0.0000 0.0000 5.4122
1.3813 -0.8572 4.0592
1.9053 1.3813 1.3531
1.3813 3.6198 -1.3531
0.8572 1.3813 6.7653
```

Space group   I-42d (122)
Calculated formation energy   23.7 kJ per mole of atoms
Calculated volume   83 Å³/f.u.
Spin magnetization   0.0 Bohr magnetons per cell
Calculated total energy   -0.1272 Ha/atom

***

Density functional theory data (GGA-PBE) for crystalline MgB2Au at its relaxed geometry.

```
MgB2Au
1.0
-1.8803 1.8803 7.8677
1.8803 -1.8803 7.8677
1.8803 1.8803 -7.8677
Mg B Au
2 4 2
Cartesian
1.8803 0.9401 1.9669
0.0000 0.9401 5.9008
0.0000 0.0000 0.0000
0.9401 0.9401 -3.9338
0.9401 -0.9401 3.9338
0.0000 1.8803 0.0000
1.8803 -0.9401 5.9008
0.0000 2.8204 1.9669
```

Space group   I4_1/amd (141)
Calculated formation energy   48.0 kJ per mole of atoms
Calculated volume   56 Å³/f.u.
Spin magnetization   0.0 Bohr magnetons per cell
Calculated total energy   -0.1492 Ha/atom

***

Density functional theory data (GGA-PBE) for crystalline Mg3BAu at its relaxed geometry.

```
Mg3BAu
1.0
4.5167 0.0000 0.0000
0.0000 4.5167 0.0000
0.0000 0.0000 4.5167
Mg B Au
3 1 1
Cartesian
0.0000 0.0000 2.2583
0.0000 2.2583 0.0000
2.2583 0.0000 0.0000
0.0000 0.0000 0.0000
2.2583 2.2583 2.2583
```

Space group   Pm-3m (221)
Calculated formation energy   -0.5 kJ per mole of atoms
Calculated volume   92 Å³/f.u.
Spin magnetization   0.0 Bohr magnetons per cell
Calculated total energy   -0.1085 Ha/atom
Relative energy among the computed polymorphs   0.0 meV per atom

***

Density functional theory data (GGA-PBE) for crystalline Mg3BAu at its relaxed geometry.

```
Mg3BAu
1.0
5.0327 0.0000 0.0000
0.0000 5.0327 0.0000
0.0000 0.0000 5.0327
Mg B Au
3 1 1
Cartesian
0.0000 0.0000 2.5163
0.0000 2.5163 0.0000
2.5163 0.0000 0.0000
2.5163 2.5163 2.5163
0.0000 0.0000 0.0000
```

Space group   Pm-3m (221)
Calculated formation energy   73.9 kJ per mole of atoms
Calculated volume   127 Å³/f.u.
Spin magnetization   0.0 Bohr magnetons per cell
Calculated total energy   -0.0802 Ha/atom
Relative energy among the computed polymorphs   770.3 meV per atom

***

Density functional theory data (GGA-PBE) for crystalline MgMnB2Au at its relaxed geometry.

```
MgMnB2Au
1.0
3.9175 0.0000 0.0000
0.0000 3.9175 0.0000
0.0000 0.0000 4.9406
Mg Mn B Au
1 1 2 1
Cartesian
0.0000 0.0000 0.0000
0.0000 0.0000 2.4703
0.0000 1.9588 2.4703
1.9588 0.0000 2.4703
1.9588 1.9588 0.0000
```

Space group   P4/mmm (123)
Calculated formation energy   90.8 kJ per mole of atoms
Calculated volume   76 Å³/f.u.
Spin magnetization   1.9 Bohr magnetons per cell
Calculated total energy   -0.1668 Ha/atom

***

Density functional theory data (GGA-PBE) for crystalline Mg2BOsAu at its relaxed geometry.

```
Mg2BOsAu
1.0
5.0361 0.0000 0.0000
0.0000 5.0361 0.0000
0.0000 0.0000 3.9566
Mg B Os Au
2 1 1 1
Cartesian
0.0000 2.5180 0.0000
2.5180 0.0000 0.0000
0.0000 0.0000 1.9783
0.0000 0.0000 0.0000
2.5180 2.5180 1.9783
```

Space group   P4/mmm (123)
Calculated formation energy   54.6 kJ per mole of atoms
Calculated volume   100 Å³/f.u.
Spin magnetization   0.0 Bohr magnetons per cell
Calculated total energy   -0.1583 Ha/atom

***

Density functional theory data (GGA-PBE) for crystalline MgBPt2Au at its relaxed geometry.

```
MgBPt2Au
1.0
4.2100 0.0000 0.0000
0.0000 4.2100 0.0000
0.0000 0.0000 4.4239
Mg B Pt Au
1 1 2 1
Cartesian
0.0000 0.0000 0.0000
2.1050 2.1050 2.2120
0.0000 2.1050 2.2120
2.1050 0.0000 2.2120
2.1050 2.1050 0.0000
```

Space group   P4/mmm (123)
Calculated formation energy   -31.2 kJ per mole of atoms
Calculated volume   78 Å³/f.u.
Spin magnetization   0.0 Bohr magnetons per cell
Calculated total energy   -0.1856 Ha/atom

***

Density functional theory data (GGA-PBE) for crystalline Mg2B2Rh5Au at its relaxed geometry.

```
Mg2B2Rh5Au
1.0
9.6758 0.0000 0.0000
0.0000 9.6758 0.0000
0.0000 0.0000 2.9450
Mg B Rh Au
4 4 10 2
Cartesian
1.7203 3.1176 0.0000
3.1176 7.9555 0.0000
6.5582 1.7203 0.0000
7.9555 6.5582 0.0000
1.1986 6.0365 0.0000
3.6393 1.1986 0.0000
6.0365 8.4772 0.0000
8.4772 3.6393 0.0000
0.0000 4.8379 1.4725
0.6839 7.4813 1.4725
2.1945 0.6839 1.4725
2.6434 5.5218 1.4725
4.1540 2.6434 1.4725
4.8379 0.0000 1.4725
5.5218 7.0324 1.4725
7.0324 4.1540 1.4725
7.4813 8.9919 1.4725
8.9919 2.1945 1.4725
0.0000 0.0000 0.0000
4.8379 4.8379 0.0000
```

Space group   P4/mbm (127)
Calculated formation energy   -43.9 kJ per mole of atoms
Calculated volume   138 Å³/f.u.
Spin magnetization   0.0 Bohr magnetons per cell
Calculated total energy   -0.2247 Ha/atom

***

Density functional theory data (GGA-PBE) for crystalline Mg2TaBAu at its relaxed geometry.

```
Mg2TaBAu
1.0
4.8012 0.0000 0.0000
0.0000 4.8012 0.0000
0.0000 0.0000 5.1364
Mg Ta B Au
2 1 1 1
Cartesian
0.0000 2.4006 0.0000
2.4006 0.0000 0.0000
0.0000 0.0000 2.5682
2.4006 2.4006 2.5682
0.0000 0.0000 0.0000
```

Space group   P4/mmm (123)
Calculated formation energy   136.5 kJ per mole of atoms
Calculated volume   118 Å³/f.u.
Spin magnetization   0.0 Bohr magnetons per cell
Calculated total energy   -0.1317 Ha/atom

***

Density functional theory data (GGA-PBE) for crystalline MgZrBAu2 at its relaxed geometry.

```
MgZrBAu2
1.0
5.1928 0.0000 0.0000
0.0000 5.1928 0.0000
0.0000 0.0000 5.7605
Mg Zr B Au
1 1 1 2
Cartesian
0.0000 0.0000 0.0000
0.0000 0.0000 2.8803
2.5964 2.5964 0.0000
0.0000 2.5964 2.8803
2.5964 0.0000 2.8803
```

Space group   P4/mmm (123)
Calculated formation energy   161.3 kJ per mole of atoms
Calculated volume   155 Å³/f.u.
Spin magnetization   0.6 Bohr magnetons per cell
Calculated total energy   -0.1104 Ha/atom

***

Density functional theory data (GGA-PBE) for crystalline MnB2Au at its relaxed geometry.

```
MnB2Au
1.0
-2.3969 2.3969 4.7029
2.3969 -2.3969 4.7029
2.3969 2.3969 -4.7029
Mn B Au
2 4 2
Cartesian
0.0000 0.0000 0.0000
0.0000 2.3969 2.3514
3.5953 1.0452 -1.1757
1.0452 1.1984 1.1757
-1.1984 1.3516 3.5271
1.3516 1.1984 5.8786
2.3969 0.0000 2.3514
0.0000 0.0000 4.7029
```

Space group   I-42d (122)
Calculated formation energy   80.5 kJ per mole of atoms
Calculated volume   54 Å³/f.u.
Spin magnetization   2.6 Bohr magnetons per cell
Calculated total energy   -0.2064 Ha/atom
Relative energy among the computed polymorphs   6.0 meV per atom

***

Density functional theory data (GGA-PBE) for crystalline MnBAu3 at its relaxed geometry.

```
MnBAu3
1.0
4.3791 0.0000 0.0000
0.0000 4.3791 0.0000
0.0000 0.0000 4.3791
Mn B Au
1 1 3
Cartesian
0.0000 0.0000 0.0000
2.1896 2.1896 2.1896
0.0000 2.1896 2.1896
2.1896 0.0000 2.1896
2.1896 2.1896 0.0000
```

Space group   Pm-3m (221)
Calculated formation energy   31.7 kJ per mole of atoms
Calculated volume   84 Å³/f.u.
Spin magnetization   4.5 Bohr magnetons per cell
Calculated total energy   -0.1767 Ha/atom
Relative energy among the computed polymorphs   0.0 meV per atom

***

Density functional theory data (GGA-PBE) for crystalline Mn2BAu at its relaxed geometry.

```
Mn2BAu
1.0
-1.7435 1.7435 8.2730
1.7435 -1.7435 8.2730
1.7435 1.7435 -8.2730
Mn B Au
4 2 2
Cartesian
2.6153 0.5589 -2.0683
0.5589 0.8718 2.0683
-0.8718 1.1846 6.2048
1.1846 0.8718 10.3413
0.0000 0.0000 0.0000
0.0000 1.7435 4.1365
1.7435 0.0000 4.1365
0.0000 0.0000 8.2730
```

Space group   I-42d (122)
Calculated formation energy   77.7 kJ per mole of atoms
Calculated volume   50 Å³/f.u.
Spin magnetization   0.0 Bohr magnetons per cell
Calculated total energy   -0.2304 Ha/atom

***

Density functional theory data (GGA-PBE) for crystalline Mn3BAu at its relaxed geometry.

```
Mn3BAu
1.0
4.8994 0.0000 0.0000
0.0000 4.8994 0.0000
0.0000 0.0000 4.8994
Mn B Au
3 1 1
Cartesian
0.0000 0.0000 2.4497
0.0000 2.4497 0.0000
2.4497 0.0000 0.0000
2.4497 2.4497 2.4497
0.0000 0.0000 0.0000
```

Space group   Pm-3m (221)
Calculated formation energy   170.5 kJ per mole of atoms
Calculated volume   118 Å³/f.u.
Spin magnetization   12.5 Bohr magnetons per cell
Calculated total energy   -0.2104 Ha/atom
Relative energy among the computed polymorphs   1718.0 meV per atom

***

Density functional theory data (GGA-PBE) for crystalline MnBAu3 at its relaxed geometry.

```
MnBAu3
1.0
4.9461 0.0000 0.0000
0.0000 4.9461 0.0000
0.0000 0.0000 4.9461
Mn B Au
1 1 3
Cartesian
0.0000 0.0000 0.0000
2.4730 2.4730 2.4730
0.0000 0.0000 2.4730
0.0000 2.4730 0.0000
2.4730 0.0000 0.0000
```

Space group   Pm-3m (221)
Calculated formation energy   149.3 kJ per mole of atoms
Calculated volume   121 Å³/f.u.
Spin magnetization   4.4 Bohr magnetons per cell
Calculated total energy   -0.1319 Ha/atom
Relative energy among the computed polymorphs   1218.2 meV per atom

***

Density functional theory data (GGA-PBE) for crystalline MnB2Au at its relaxed geometry.

```
MnB2Au
1.0
0.0000 2.7133 2.7133
2.7133 0.0000 2.7133
2.7133 2.7133 0.0000
Mn B Au
1 2 1
Cartesian
0.0000 0.0000 0.0000
1.3567 1.3567 1.3567
4.0700 4.0700 4.0700
2.7133 2.7133 2.7133
```

Space group   Fm-3m (225)
Calculated formation energy   79.9 kJ per mole of atoms
Calculated volume   40 Å³/f.u.
Spin magnetization   0.0 Bohr magnetons per cell
Calculated total energy   -0.2066 Ha/atom
Relative energy among the computed polymorphs   0.0 meV per atom

***

Density functional theory data (GGA-PBE) for crystalline MnBAu2 at its relaxed geometry.

```
MnBAu2
1.0
-3.6262 3.6262 2.3940
3.6262 -3.6262 2.3940
3.6262 3.6262 -2.3940
Mn B Au
2 2 4
Cartesian
0.0000 0.0000 0.0000
0.0000 3.6262 1.1970
3.6262 0.0000 1.1970
0.0000 0.0000 2.3940
1.8131 2.5611 -0.5985
4.6913 1.8131 0.5985
1.8131 1.0651 1.7955
-1.0651 1.8131 2.9925
```

Space group   I-42d (122)
Calculated formation energy   38.9 kJ per mole of atoms
Calculated volume   63 Å³/f.u.
Spin magnetization   7.7 Bohr magnetons per cell
Calculated total energy   -0.1910 Ha/atom

***

Density functional theory data (GGA-PBE) for crystalline Mn3BAu at its relaxed geometry.

```
Mn3BAu
1.0
4.0261 0.0000 0.0000
0.0000 4.0261 0.0000
0.0000 0.0000 4.0261
Mn B Au
3 1 1
Cartesian
0.0000 0.0000 2.0130
0.0000 2.0130 0.0000
2.0130 0.0000 0.0000
0.0000 0.0000 0.0000
2.0130 2.0130 2.0130
```

Space group   Pm-3m (221)
Calculated formation energy   4.7 kJ per mole of atoms
Calculated volume   65 Å³/f.u.
Spin magnetization   8.8 Bohr magnetons per cell
Calculated total energy   -0.2736 Ha/atom
Relative energy among the computed polymorphs   0.0 meV per atom